Entry 1:
Here is an optimized crystal structure of Ba2SnI6 from the Alexandria database. Energies are from PBE-GGA.

D(E_F): 0.0 states/eV/cell
E_tot: -3.253 eV per atom

The structure in CIF format:
```
data_Ba2SnI6
_symmetry_space_group_name_H-M 'P 1 21/c 1'
_symmetry_Int_Tables_number 14
_symmetry_space_group_name_Hall '-P 2ybc'
_cell_length_a 7.901
_cell_length_b 9.094
_cell_length_c 13.739
_cell_angle_alpha 90.00
_cell_angle_beta 124.31
_cell_angle_gamma 90.00
loop_
_atom_site_label
_atom_site_type_symbol
_atom_site_fract_x
_atom_site_fract_y
_atom_site_fract_z
Ba1 Ba 0.211 0.113 0.252
Sn1 Sn 0.500 0.000 0.000
I1 I 0.100 0.175 0.936
I2 I 0.277 0.686 0.942
I3 I 0.367 0.035 0.737
```

=====

Entry 2:
Here is an optimized crystal structure of Tl2Cu2Pd7 from the Alexandria database. Energies are from PBE-GGA.

D(E_F): 8.3 states/eV/cell
ΔH_f (0 K): 0.5 eV/f.u.
E_tot: -4.435 eV per atom

The structure in CIF format:
```
data_Tl2Cu2Pd7
_symmetry_space_group_name_H-M 'C 1 2/m 1'
_symmetry_Int_Tables_number 12
_symmetry_space_group_name_Hall '-C 2y'
_cell_length_a 10.084
_cell_length_b 8.287
_cell_length_c 4.707
_cell_angle_alpha 90.00
_cell_angle_beta 102.47
_cell_angle_gamma 90.00
loop_
_atom_site_label
_atom_site_type_symbol
_atom_site_fract_x
_atom_site_fract_y
_atom_site_fract_z
Tl1 Tl 0.000 0.204 0.000
Cu1 Cu 0.248 0.500 0.760
Pd1 Pd 0.000 0.000 0.500
Pd2 Pd 0.054 0.500 0.282
Pd3 Pd 0.222 0.175 0.734
```

=====

Entry 3:
Here is an optimized crystal structure of Al2CdIr from the Alexandria database. Energies are from PBE-GGA.

D(E_F): 1.5 states/eV/cell
ΔH_f (0 K): -0.7 eV/f.u.
E_tot: -4.488 eV per atom

The structure in CIF format:
```
data_Al2CdIr
_symmetry_space_group_name_H-M 'P 4 m m'
_symmetry_Int_Tables_number 99
_symmetry_space_group_name_Hall 'P 4 -2'
_cell_length_a 2.960
_cell_length_b 2.960
_cell_length_c 7.865
_cell_angle_alpha 90.00
_cell_angle_beta 90.00
_cell_angle_gamma 90.00
loop_
_atom_site_label
_atom_site_type_symbol
_atom_site_fract_x
_atom_site_fract_y
_atom_site_fract_z
Al1 Al 0.000 0.000 0.000
Al2 Al 0.500 0.500 0.257
Cd1 Cd 0.000 0.000 0.560
Ir1 Ir 0.500 0.500 0.822
```

=====

Entry 4:
Here is an optimized crystal structure of BeSn from the Alexandria database. Energies are from PBE-GGA.

D(E_F): 1.5 states/eV/cell
ΔH_f (0 K): 0.6 eV/f.u.
E_tot: -3.588 eV per atom
relative energy among the computed polymorphs: 52 meV/atom

The structure in CIF format:
```
data_BeSn
_symmetry_space_group_name_H-M 'P 63/m m c'
_symmetry_Int_Tables_number 194
_symmetry_space_group_name_Hall '-P 6c 2c'
_cell_length_a 4.2088
_cell_length_b 4.2088
_cell_length_c 4.6228
_cell_angle_alpha 90.00
_cell_angle_beta 90.00
_cell_angle_gamma 120.00
loop_
_atom_site_label
_atom_site_type_symbol
_atom_site_fract_x
_atom_site_fract_y
_atom_site_fract_z
Be1 Be 0.0000 0.0000 0.0000
Sn1 Sn 0.3333 0.6667 0.2500
```

=====

- Which of these has the highest E_tot?
  Ba2SnI6

=====

- E_tot of number 2 (Tl2Cu2Pd7)?
  -4.435 eV per atom